Material: CsFe4O7
Method: DFT, PBE+U
State: relaxed

CIF file:
```
data_CsFe4O7
_chemical_formula_sum 'Cs2 Fe8 O14'
_cell_length_a 14.126
_cell_length_b 5.691
_cell_length_c 5.408
_cell_angle_alpha 90.00
_cell_angle_beta 90.00
_cell_angle_gamma 90.00
_symmetry_space_group_name_H-M 'P m n 21'
_symmetry_Int_Tables_number 31
_symmetry_space_group_name_Hall 'P 2ac -2'
loop_
_atom_site_label
_atom_site_type_symbol
_atom_site_fract_x
_atom_site_fract_y
_atom_site_fract_z
Cs1 Cs 0.000 0.196 0.000
Fe1 Fe 0.121 0.679 0.477
Fe2 Fe 0.249 0.830 0.967
O1 O 0.000 0.755 0.370
O2 O 0.137 0.751 0.810
O3 O 0.147 0.364 0.421
O4 O 0.214 0.877 0.309
```

Calculated values
The uncorrected energy is -6.1470 eV/atom. As for the volume: 434.75 Å³ per cell.